PBE-GGA La2Zr2N, optimized geometry; symmetry = P4/mbm; total energy = -0.2659 Ha/atom; spin magnetization = 0.00 μB per cell
1.0
6.164 0.000 0.000
0.000 6.164 0.000
0.000 0.000 6.256
La Zr N
4 4 2
Direct
0.169 0.331 0.000 La
0.331 0.831 0.000 La
0.669 0.169 0.000 La
0.831 0.669 0.000 La
0.175 0.675 0.500 Zr
0.325 0.175 0.500 Zr
0.675 0.825 0.500 Zr
0.825 0.325 0.500 Zr
0.000 0.000 0.500 N
0.500 0.500 0.500 N